Entry 1:
# MgScCdSn (PBE-GGA, optimized geometry)
# uncorrected energy = -3.447 eV/atom
# distance to the lowest polymorph of the same formula = 149.2 meV per atom
data_MgScCdSn
_chemical_formula_sum 'Mg4 Sc4 Cd4 Sn4'
_symmetry_space_group_name_H-M 'F -4 3 m'
_symmetry_Int_Tables_number 216
_symmetry_space_group_name_Hall 'F -4 2 3'
_cell_length_a 7.1002
_cell_length_b 7.1002
_cell_length_c 7.1002
_cell_angle_alpha 90.00
_cell_angle_beta 90.00
_cell_angle_gamma 90.00
loop_
_atom_site_label
_atom_site_fract_x
_atom_site_fract_y
_atom_site_fract_z
_atom_site_occupancy
Mg1 0.0000 0.0000 0.0000 1
Sc1 0.0000 0.0000 0.5000 1
Cd1 0.2500 0.2500 0.2500 1
Sn1 0.2500 0.2500 0.7500 1


Entry 2:
# MgScCdSn (PBE-GGA, optimized geometry)
# uncorrected energy = -3.597 eV/atom
# distance to the lowest polymorph of the same formula = 0.0 meV per atom
data_MgScCdSn
_chemical_formula_sum 'Mg1 Sc1 Cd1 Sn1'
_symmetry_space_group_name_H-M 'P m m m'
_symmetry_Int_Tables_number 47
_symmetry_space_group_name_Hall '-P 2 2'
_cell_length_a 4.2502
_cell_length_b 4.4132
_cell_length_c 4.6651
_cell_angle_alpha 90.00
_cell_angle_beta 90.00
_cell_angle_gamma 90.00
loop_
_atom_site_label
_atom_site_fract_x
_atom_site_fract_y
_atom_site_fract_z
_atom_site_occupancy
Mg1 0.0000 0.0000 0.0000 1
Sc1 0.0000 0.5000 0.5000 1
Cd1 0.5000 0.5000 0.0000 1
Sn1 0.5000 0.0000 0.5000 1